A plane-wave DFT calculation with PBE with a Hubbard U was carried out for NaCoPO after structural relaxation.

Unit cell a=3.5368 b=3.5368 c=9.3353 alpha=90.00 beta=90.00 gamma=90.00
Last column: nearest neighbours and their distance in Å.
Positions (direct):
Na: 0.0000 0.5000 0.1502  4 O 2.26
Na: 0.5000 0.0000 0.8498  4 O 2.26
O: 0.0000 0.0000 0.0000  4 Na 2.26, 4 O 2.50
O: 0.5000 0.5000 0.0000  4 Na 2.26, 4 O 2.50
Co: 0.0000 0.0000 0.5000  4 P 2.15
Co: 0.5000 0.5000 0.5000  4 P 2.15
P: 0.5000 0.0000 0.3690  4 Co 2.15
P: 0.0000 0.5000 0.6310  4 Co 2.15

Calculated values
symmetry = P4/nmm (129)
total moment = 0.1 μB/cell
final energy = -0.31778 Ry per atom
excess energy over the best structure of this formula in the dataset = 384 meV/atom
volume = 14.60 A^3/atom